4
Lattice="3.4967 0.0000 0.0000 0.0000 3.4967 0.0000 0.0000 0.0000 9.8105" Properties=species:S:1:pos:R:3 comment="PBE SmHo2Sc, relaxed" spacegroup="P4/mmm (123)" e_form_kj_per_mol_fu=17 pbc="T T T"
Sm 0.0000 0.0000 0.0000
Ho 1.7484 1.7484 2.5855
Ho 1.7484 1.7484 7.2251
Sc 0.0000 0.0000 4.9053

16
Lattice="9.5916 0.0000 0.0000 0.0000 6.2446 0.0000 0.0000 0.0000 4.8066" Properties=species:S:1:pos:R:3 comment="PBE TmHf3Ir4, relaxed" spacegroup="Pmma (51)" e_form_kj_per_mol_fu=-693 pbc="T T T"
Tm 0.0000 0.0000 0.0000
Tm 4.7958 0.0000 0.0000
Hf 0.0000 3.1223 0.0000
Hf 2.3979 0.0000 2.2953
Hf 2.3979 3.1223 2.2802
Hf 4.7958 3.1223 0.0000
Hf 7.1937 0.0000 2.5112
Hf 7.1937 3.1223 2.5264
Ir 0.0000 1.6069 2.4033
Ir 0.0000 4.6377 2.4033
Ir 2.3979 1.6082 4.6453
Ir 2.3979 4.6365 4.6453
Ir 4.7958 1.6069 2.4033
Ir 4.7958 4.6377 2.4033
Ir 7.1937 1.6082 0.1613
Ir 7.1937 4.6365 0.1613

16
Lattice="7.4967 0.0000 0.0000 0.0000 7.4967 0.0000 0.0000 0.0000 7.4967" Properties=species:S:1:pos:R:3 comment="PBE SmPaTlAu, relaxed" spacegroup="F-43m (216)" e_form_kj_per_mol_fu=-47 pbc="T T T"
Sm 0.0000 0.0000 0.0000
Sm 0.0000 3.7484 3.7484
Sm 3.7484 0.0000 3.7484
Sm 3.7484 3.7484 0.0000
Pa 0.0000 0.0000 3.7484
Pa 0.0000 3.7484 0.0000
Pa 3.7484 0.0000 0.0000
Pa 3.7484 3.7484 3.7484
Tl 1.8742 1.8742 5.6225
Tl 1.8742 5.6225 1.8742
Tl 5.6225 1.8742 1.8742
Tl 5.6225 5.6225 5.6225
Au 1.8742 1.8742 1.8742
Au 1.8742 5.6225 5.6225
Au 5.6225 1.8742 5.6225
Au 5.6225 5.6225 1.8742

11
Lattice="7.3819 -4.4298 0.0000 7.3819 4.4298 0.0000 -4.7863 0.0000 7.5009" Properties=species:S:1:pos:R:3 comment="PBE Cs2PmCu2I6, relaxed" spacegroup="C2/m (12)" raw_formation_energy_kj_per_mol_atoms=-85.9 pbc="T T T"
Cs 2.4461 0.0000 1.5831
Cs 7.5313 0.0000 5.9178
Pm -2.3932 0.0000 3.7505
Cu 2.9439 0.0000 5.3969
Cu 7.0335 0.0000 2.1040
I 5.9151 2.2610 1.6994
I 0.3578 0.0000 5.2626
I 4.0623 2.2610 5.8015
I 5.9151 -2.2610 1.6994
I 9.6196 0.0000 2.2383
I 4.0623 -2.2610 5.8015

12
Lattice="5.5061 0.0000 0.0000 0.0000 5.5061 0.0000 0.0000 0.0000 16.5355" Properties=species:S:1:pos:R:3 comment="PBE Ac9Pm2Ho, relaxed" spacegroup="P4/mmm (123)" e_form_kj_per_mol_fu=33 pbc="T T T"
Ac 0.0000 0.0000 0.0000
Ac 0.0000 0.0000 5.5015
Ac 0.0000 0.0000 11.0339
Ac 0.0000 2.7530 2.7323
Ac 0.0000 2.7530 8.2677
Ac 0.0000 2.7530 13.8032
Ac 2.7530 0.0000 2.7323
Ac 2.7530 0.0000 8.2677
Ac 2.7530 0.0000 13.8032
Pm 2.7530 2.7530 5.4956
Pm 2.7530 2.7530 11.0399
Ho 2.7530 2.7530 0.0000

10
Lattice="8.5912 -2.0076 0.0000 8.5912 2.0076 0.0000 -2.8599 0.0000 6.4121" Properties=species:S:1:pos:R:3 comment="PBE Sc5NbGe4, relaxed" spacegroup="C2/m (12)" e_form_kj_per_mol_fu=-434 pbc="T T T"
Sc 0.0000 0.0000 0.0000
Sc 4.0379 0.0000 3.7399
Sc 5.4929 0.0000 0.4967
Sc 8.8296 0.0000 5.9154
Sc 10.2846 0.0000 2.6722
Nb -1.4300 0.0000 3.2060
Ge 1.1985 0.0000 4.3950
Ge 7.8716 0.0000 1.6264
Ge 6.4508 0.0000 4.7857
Ge 13.1239 0.0000 2.0171